## ScAg2Sb (PBE-GGA)

Data for a relaxed ScAg2Sb crystal.

Computed properties:
The value obtained for the energy is -17.37 eV/cell. The uncorrected formation energy comes out at -0.30 eV/atom. For the magnetization, the calculation gives 0.00 μB/f.u. The space group is I4/mmm (139). The density is 7.67 g/cm3. The crystal system is tetragonal.

Cell and atoms, written as extended XYZ:
```
4
Lattice="5.5746 0.0059 -0.0184 2.4229 5.0205 0.0184 -3.9902 -2.5268 2.9614" Properties=species:S:1:pos:R:3 pbc="T T T"
Ag 4.0004 2.5143 0.0000
Ag 7.9958 5.0254 0.0000
Sc 1.2157 2.5035 1.4899
Sb 2.7916 -0.0038 1.4715
```